(1)
# BaBe13, optimized geometry, DFT PBE
data_BaBe13
_chemical_formula_sum 'Ba2 Be26'
_cell_length_a 7.502
_cell_length_b 7.502
_cell_length_c 7.502
_cell_angle_alpha 60.00
_cell_angle_beta 60.00
_cell_angle_gamma 60.00
_symmetry_space_group_name_H-M 'P 1'
_symmetry_Int_Tables_number 1
loop_
_symmetry_equiv_pos_as_xyz
'x,y,z'
loop_
_atom_site_label
_atom_site_type_symbol
_atom_site_fract_x
_atom_site_fract_y
_atom_site_fract_z
Be1 Be 0.219 0.433 0.567
Be2 Be 0.567 0.781 0.219
Be3 Be 0.433 0.781 0.567
Be4 Be 0.781 0.567 0.433
Be5 Be 0.719 0.281 0.067
Be6 Be 0.719 0.067 0.933
Be7 Be 0.000 0.000 0.000
Be8 Be 0.933 0.281 0.719
Be9 Be 0.219 0.567 0.781
Be10 Be 0.281 0.933 0.067
Be11 Be 0.719 0.933 0.281
Be12 Be 0.433 0.567 0.219
Be13 Be 0.781 0.219 0.567
Be14 Be 0.281 0.067 0.719
Be15 Be 0.567 0.219 0.433
Be16 Be 0.433 0.219 0.781
Be17 Be 0.219 0.781 0.433
Be18 Be 0.933 0.067 0.281
Be19 Be 0.067 0.281 0.933
Be20 Be 0.933 0.719 0.067
Be21 Be 0.067 0.933 0.719
Be22 Be 0.281 0.719 0.933
Be23 Be 0.781 0.433 0.219
Be24 Be 0.067 0.719 0.281
Be25 Be 0.500 0.500 0.500
Be26 Be 0.567 0.433 0.781
Ba1 Ba 0.250 0.250 0.250
Ba2 Ba 0.750 0.750 0.750
# ΔE_f: 0.5 eV per formula unit

---

(2)
# MnGaGeSe2, optimized geometry, DFT PBE
data_MnGaGeSe2
_chemical_formula_sum 'Mn1 Ga1 Ge1 Se2'
_cell_length_a 3.405
_cell_length_b 5.668
_cell_length_c 6.886
_cell_angle_alpha 57.15
_cell_angle_beta 104.59
_cell_angle_gamma 107.63
_symmetry_space_group_name_H-M 'P 1'
_symmetry_Int_Tables_number 1
loop_
_symmetry_equiv_pos_as_xyz
'x,y,z'
loop_
_atom_site_label
_atom_site_type_symbol
_atom_site_fract_x
_atom_site_fract_y
_atom_site_fract_z
Ga1 Ga 0.296 0.227 0.194
Ge1 Ge 0.663 0.317 0.842
Se1 Se 0.850 0.878 0.644
Se2 Se 0.536 0.672 0.231
Mn1 Mn 0.175 0.683 0.493
# ΔE to the lowest computed polymorph: 123.3 meV per atom

---

(3)
# SrTcBS2, optimized geometry, DFT PBE
data_SrTcBS2
_chemical_formula_sum 'Sr1 Tc1 B1 S2'
_cell_length_a 4.443
_cell_length_b 4.726
_cell_length_c 4.443
_cell_angle_alpha 90.00
_cell_angle_beta 90.00
_cell_angle_gamma 90.00
_symmetry_space_group_name_H-M 'P 1'
_symmetry_Int_Tables_number 1
loop_
_symmetry_equiv_pos_as_xyz
'x,y,z'
loop_
_atom_site_label
_atom_site_type_symbol
_atom_site_fract_x
_atom_site_fract_y
_atom_site_fract_z
B1 B 0.000 0.000 0.000
Sr1 Sr 0.000 0.500 0.000
S1 S 0.500 0.000 0.000
S2 S 0.000 0.000 0.500
Tc1 Tc 0.500 0.500 0.500
# calculated total energy: -21.900 eV for the cell shown

---

(4)
# Ti3SnGe, optimized geometry, DFT PBE
data_Ti3SnGe
_chemical_formula_sum 'Ti3 Sn1 Ge1'
_cell_length_a 5.019
_cell_length_b 5.019
_cell_length_c 5.019
_cell_angle_alpha 90.00
_cell_angle_beta 90.00
_cell_angle_gamma 90.00
_symmetry_space_group_name_H-M 'P 1'
_symmetry_Int_Tables_number 1
loop_
_symmetry_equiv_pos_as_xyz
'x,y,z'
loop_
_atom_site_label
_atom_site_type_symbol
_atom_site_fract_x
_atom_site_fract_y
_atom_site_fract_z
Ti1 Ti 0.000 0.500 0.000
Ti2 Ti 0.500 0.000 0.000
Ti3 Ti 0.000 0.000 0.500
Sn1 Sn 0.000 0.000 0.000
Ge1 Ge 0.500 0.500 0.500
# ΔE_f: 4.8 eV per formula unit
# ΔE to the lowest computed polymorph: 1146.6 meV per atom